Record 1
{"formula": "La4Pm4Ho3", "functional": "GGA-PBE", "state": "optimized geometry", "polymorph_energy_ev_per_fu": 0.00, "delta_e_f_ev_per_atom": 0.1151, "lattice_angstrom": [[-1.836, 4.809, 11.036], [1.836, -4.809, 11.036], [1.836, 4.809, -11.036]], "species": ["La", "La", "La", "La", "Pm", "Pm", "Pm", "Pm", "Ho", "Ho", "Ho"], "frac_coords": [[0.024, 0.856, 0.169], [0.313, 0.144, 0.169], [0.687, 0.856, 0.831], [0.976, 0.144, 0.831], [0.266, 0.766, 0.500], [0.312, 0.000, 0.312], [0.688, 0.000, 0.688], [0.734, 0.234, 0.500], [0.000, 0.500, 0.500], [0.397, 0.397, 0.000], [0.603, 0.603, 0.000]]}

***

Record 2
{"formula": "Sr2Li3HgAs4", "functional": "GGA-PBE", "state": "optimized geometry", "delta_e_f_ev_per_atom": -0.7574, "lattice_angstrom": [[4.403, 0.000, 0.000], [0.000, 4.403, 0.000], [0.000, 0.000, 11.015]], "species": ["Sr", "Sr", "Li", "Li", "Li", "Hg", "As", "As", "As", "As"], "frac_coords": [[0.000, 0.500, 0.236], [0.500, 0.000, 0.764], [0.000, 0.500, 0.879], [0.500, 0.000, 0.121], [0.500, 0.500, 0.500], [0.000, 0.000, 0.500], [0.000, 0.000, 0.000], [0.000, 0.500, 0.652], [0.500, 0.000, 0.348], [0.500, 0.500, 0.000]]}

***

Record 3
{"formula": "RbCu2S2", "functional": "GGA-PBE", "state": "optimized geometry", "raw_formation_energy_ev_per_fu": -2.16, "lattice_angstrom": [[3.755, 0.000, 0.000], [0.000, 3.755, 0.000], [0.000, 0.000, 7.343]], "species": ["Rb", "Cu", "Cu", "S", "S"], "frac_coords": [[0.000, 0.000, 0.000], [0.000, 0.500, 0.500], [0.500, 0.000, 0.500], [0.500, 0.500, 0.292], [0.500, 0.500, 0.708]]}

***

Record 4
{"formula": "K2ZnPt", "functional": "GGA-PBE", "state": "optimized geometry", "delta_e_f_ev_per_atom": 0.1519, "lattice_angstrom": [[5.667, 0.000, 0.000], [0.000, 8.490, 0.000], [0.000, 0.000, 4.496]], "species": ["K", "K", "K", "K", "Zn", "Zn", "Pt", "Pt"], "frac_coords": [[0.250, 0.250, 0.000], [0.250, 0.750, 0.000], [0.750, 0.250, 0.000], [0.750, 0.750, 0.000], [0.000, 0.000, 0.500], [0.500, 0.500, 0.500], [0.000, 0.500, 0.500], [0.500, 0.000, 0.500]]}

***

Record 5
{"formula": "NaSeCl2", "functional": "GGA-PBE", "state": "optimized geometry", "raw_formation_energy_ev_per_fu": -1.71, "polymorph_energy_ev_per_fu": 1.33, "lattice_angstrom": [[7.556, 0.000, 0.000], [0.000, 7.556, 0.000], [0.000, 0.000, 6.941]], "species": ["Na", "Na", "Na", "Na", "Se", "Se", "Se", "Se", "Cl", "Cl", "Cl", "Cl", "Cl", "Cl", "Cl", "Cl"], "frac_coords": [[0.000, 0.000, 0.000], [0.000, 0.500, 0.250], [0.500, 0.000, 0.750], [0.500, 0.500, 0.500], [0.000, 0.000, 0.500], [0.000, 0.500, 0.750], [0.500, 0.000, 0.250], [0.500, 0.500, 0.000], [0.241, 0.250, 0.625], [0.250, 0.741, 0.875], [0.250, 0.759, 0.375], [0.259, 0.250, 0.125], [0.741, 0.750, 0.125], [0.750, 0.241, 0.375], [0.750, 0.259, 0.875], [0.759, 0.750, 0.625]]}

***

Record 6
{"formula": "Nd2ZnPd5", "functional": "GGA-PBE", "state": "optimized geometry", "delta_e_f_ev_per_atom": -0.6847, "lattice_angstrom": [[6.238, 0.000, 0.000], [0.000, 6.238, 0.000], [0.000, 0.000, 8.072]], "species": ["Nd", "Nd", "Nd", "Nd", "Zn", "Zn", "Pd", "Pd", "Pd", "Pd", "Pd", "Pd", "Pd", "Pd", "Pd", "Pd"], "frac_coords": [[0.000, 0.500, 0.000], [0.000, 0.500, 0.500], [0.500, 0.000, 0.000], [0.500, 0.000, 0.500], [0.000, 0.000, 0.332], [0.500, 0.500, 0.832], [0.000, 0.000, 0.004], [0.224, 0.224, 0.745], [0.224, 0.776, 0.745], [0.276, 0.276, 0.245], [0.276, 0.724, 0.245], [0.500, 0.500, 0.504], [0.724, 0.276, 0.245], [0.724, 0.724, 0.245], [0.776, 0.224, 0.745], [0.776, 0.776, 0.745]]}

***

Record 7
{"formula": "NiC2", "functional": "GGA-PBE", "state": "optimized geometry", "polymorph_energy_ev_per_fu": 4.70, "delta_e_f_ev_per_atom": 1.9853, "lattice_angstrom": [[4.484, 0.000, 0.000], [0.000, 4.484, 0.000], [0.000, 0.000, 2.831]], "species": ["Ni", "Ni", "C", "C", "C", "C"], "frac_coords": [[0.000, 0.000, 0.000], [0.500, 0.500, 0.500], [0.204, 0.204, 0.500], [0.296, 0.704, 0.000], [0.704, 0.296, 0.000], [0.796, 0.796, 0.500]]}

***

Record 8
{"formula": "TeH2I", "functional": "GGA-PBE", "state": "optimized geometry", "polymorph_energy_ev_per_fu": 3.82, "lattice_angstrom": [[6.375, 0.000, 0.000], [0.000, 6.375, 0.000], [0.000, 0.000, 6.375]], "species": ["Te", "Te", "Te", "Te", "H", "H", "H", "H", "H", "H", "H", "H", "I", "I", "I", "I"], "frac_coords": [[0.000, 0.000, 0.000], [0.000, 0.500, 0.500], [0.500, 0.000, 0.500], [0.500, 0.500, 0.000], [0.250, 0.250, 0.250], [0.250, 0.250, 0.750], [0.250, 0.750, 0.250], [0.250, 0.750, 0.750], [0.750, 0.250, 0.250], [0.750, 0.250, 0.750], [0.750, 0.750, 0.250], [0.750, 0.750, 0.750], [0.000, 0.000, 0.500], [0.000, 0.500, 0.000], [0.500, 0.000, 0.000], [0.500, 0.500, 0.500]]}

***

Record 9
{"formula": "Tl3SbCl6", "functional": "GGA-PBE", "state": "optimized geometry", "raw_formation_energy_ev_per_fu": -9.82, "lattice_angstrom": [[7.480, 0.000, 0.000], [0.000, 8.205, 0.000], [-7.157, 0.000, 10.962]], "species": ["Tl", "Tl", "Tl", "Tl", "Tl", "Tl", "Sb", "Sb", "Cl", "Cl", "Cl", "Cl", "Cl", "Cl", "Cl", "Cl", "Cl", "Cl", "Cl", "Cl"], "frac_coords": [[0.000, 0.000, 0.000], [0.000, 0.500, 0.500], [0.214, 0.073, 0.743], [0.214, 0.427, 0.243], [0.786, 0.573, 0.757], [0.786, 0.927, 0.257], [0.500, 0.000, 0.500], [0.500, 0.500, 0.000], [0.155, 0.169, 0.451], [0.155, 0.331, 0.951], [0.268, 0.725, 0.427], [0.268, 0.775, 0.927], [0.399, 0.055, 0.272], [0.399, 0.445, 0.772], [0.601, 0.555, 0.228], [0.601, 0.945, 0.728], [0.732, 0.225, 0.073], [0.732, 0.275, 0.573], [0.845, 0.669, 0.049], [0.845, 0.831, 0.549]]}

***

Record 10
{"formula": "La3Pr4Nd4", "functional": "GGA-PBE", "state": "optimized geometry", "polymorph_energy_ev_per_fu": 0.13, "delta_e_f_ev_per_atom": 0.1461, "lattice_angstrom": [[-1.828, 5.830, 9.587], [1.828, -5.830, 9.587], [1.828, 5.830, -9.587]], "species": ["La", "La", "La", "Pr", "Pr", "Pr", "Pr", "Nd", "Nd", "Nd", "Nd"], "frac_coords": [[0.000, 0.000, 0.000], [0.395, 0.895, 0.500], [0.605, 0.105, 0.500], [0.217, 0.217, 0.000], [0.286, 0.500, 0.786], [0.714, 0.500, 0.214], [0.783, 0.783, 0.000], [0.074, 0.329, 0.745], [0.416, 0.671, 0.745], [0.584, 0.329, 0.255], [0.926, 0.671, 0.255]]}

***

Record 11
{"formula": "RbNaAgHg2", "functional": "GGA-PBE", "state": "optimized geometry", "delta_e_f_ev_per_atom": -0.0832, "lattice_angstrom": [[5.536, 0.000, 0.000], [0.000, 5.536, 0.000], [0.000, 0.000, 5.658]], "species": ["Rb", "Na", "Ag", "Hg", "Hg"], "frac_coords": [[0.000, 0.000, 0.000], [0.500, 0.500, 0.000], [0.500, 0.500, 0.500], [0.000, 0.500, 0.500], [0.500, 0.000, 0.500]]}

***

Record 12
{"formula": "K3NaHg2H6", "functional": "GGA-PBE", "state": "optimized geometry", "e_tot_ev_per_fu": -25.74, "lattice_angstrom": [[5.964, 0.000, 0.000], [-2.982, 5.165, 0.000], [0.000, 0.000, 7.366]], "species": ["K", "K", "K", "Na", "Hg", "Hg", "H", "H", "H", "H", "H", "H"], "frac_coords": [[0.000, 0.000, 0.000], [0.333, 0.667, 0.689], [0.667, 0.333, 0.311], [0.000, 0.000, 0.500], [0.333, 0.667, 0.200], [0.667, 0.333, 0.800], [0.168, 0.336, 0.300], [0.168, 0.832, 0.300], [0.336, 0.168, 0.700], [0.664, 0.832, 0.300], [0.832, 0.168, 0.700], [0.832, 0.664, 0.700]]}

***

Record 13
{"formula": "TmCoAgSn", "functional": "GGA-PBE", "state": "optimized geometry", "delta_e_f_ev_per_atom": -0.1997, "lattice_angstrom": [[6.693, 0.000, 0.000], [0.000, 6.693, 0.000], [0.000, 0.000, 6.693]], "species": ["Tm", "Tm", "Tm", "Tm", "Co", "Co", "Co", "Co", "Ag", "Ag", "Ag", "Ag", "Sn", "Sn", "Sn", "Sn"], "frac_coords": [[0.000, 0.000, 0.000], [0.000, 0.500, 0.500], [0.500, 0.000, 0.500], [0.500, 0.500, 0.000], [0.250, 0.250, 0.750], [0.250, 0.750, 0.250], [0.750, 0.250, 0.250], [0.750, 0.750, 0.750], [0.250, 0.250, 0.250], [0.250, 0.750, 0.750], [0.750, 0.250, 0.750], [0.750, 0.750, 0.250], [0.000, 0.000, 0.500], [0.000, 0.500, 0.000], [0.500, 0.000, 0.000], [0.500, 0.500, 0.500]]}

***

Record 14
{"formula": "TbHo2ScS4", "functional": "GGA-PBE", "state": "optimized geometry", "raw_formation_energy_ev_per_fu": -15.53, "lattice_angstrom": [[6.681, 0.000, 0.000], [0.000, 3.825, 0.000], [-2.197, 0.000, 6.330]], "species": ["Tb", "Ho", "Ho", "Sc", "S", "S", "S", "S"], "frac_coords": [[0.000, 0.000, 0.000], [0.500, 0.000, 0.500], [0.500, 0.500, 0.000], [0.000, 0.500, 0.500], [0.242, 0.000, 0.740], [0.248, 0.500, 0.257], [0.752, 0.500, 0.743], [0.758, 0.000, 0.260]]}

***

Record 15
{"formula": "NaReNi", "functional": "GGA-PBE", "state": "optimized geometry", "polymorph_energy_ev_per_fu": 2.47, "delta_e_f_ev_per_atom": 1.0671, "lattice_angstrom": [[4.440, 0.000, 0.000], [-2.220, 3.845, 0.000], [0.000, 0.000, 5.159]], "species": ["Na", "Na", "Re", "Re", "Ni", "Ni"], "frac_coords": [[0.000, 0.000, 0.000], [0.000, 0.000, 0.500], [0.333, 0.667, 0.250], [0.667, 0.333, 0.750], [0.333, 0.667, 0.750], [0.667, 0.333, 0.250]]}

***

Record 16
{"formula": "LiZn3Ir", "functional": "GGA-PBE", "state": "optimized geometry", "polymorph_energy_ev_per_fu": 0.99, "delta_e_f_ev_per_atom": -0.0600, "lattice_angstrom": [[7.205, 0.000, 0.000], [0.000, 9.429, 0.000], [0.000, 0.000, 6.352]], "species": ["Li", "Li", "Li", "Li", "Zn", "Zn", "Zn", "Zn", "Zn", "Zn", "Zn", "Zn", "Zn", "Zn", "Zn", "Zn", "Ir", "Ir", "Ir", "Ir"], "frac_coords": [[0.249, 0.250, 0.250], [0.251, 0.750, 0.750], [0.749, 0.250, 0.250], [0.751, 0.750, 0.750], [0.000, 0.250, 0.602], [0.000, 0.750, 0.398], [0.250, 0.050, 0.750], [0.250, 0.450, 0.750], [0.250, 0.550, 0.250], [0.250, 0.950, 0.250], [0.500, 0.250, 0.898], [0.500, 0.750, 0.102], [0.750, 0.050, 0.750], [0.750, 0.450, 0.750], [0.750, 0.550, 0.250], [0.750, 0.950, 0.250], [0.000, 0.000, 0.500], [0.000, 0.500, 0.500], [0.500, 0.000, 0.000], [0.500, 0.500, 0.000]]}

***

Record 17
{"formula": "MnBe2Ag", "functional": "GGA-PBE", "state": "optimized geometry", "polymorph_energy_ev_per_fu": 0.65, "delta_e_f_ev_per_atom": 0.2123, "lattice_angstrom": [[2.771, 0.000, 0.000], [0.000, 4.010, 0.000], [0.000, 0.000, 8.456]], "species": ["Mn", "Mn", "Be", "Be", "Be", "Be", "Ag", "Ag"], "frac_coords": [[0.000, 0.000, 0.000], [0.500, 0.500, 0.500], [0.000, 0.000, 0.529], [0.000, 0.500, 0.238], [0.500, 0.000, 0.738], [0.500, 0.500, 0.029], [0.000, 0.500, 0.780], [0.500, 0.000, 0.280]]}

***

Record 18
{"formula": "BeNb2Cl", "functional": "GGA-PBE", "state": "optimized geometry", "raw_formation_energy_ev_per_fu": 1.60, "polymorph_energy_ev_per_fu": 0.00, "lattice_angstrom": [[6.203, 0.000, 0.000], [0.000, 6.203, 0.000], [0.000, 0.000, 6.203]], "species": ["Be", "Be", "Be", "Be", "Nb", "Nb", "Nb", "Nb", "Nb", "Nb", "Nb", "Nb", "Cl", "Cl", "Cl", "Cl"], "frac_coords": [[0.000, 0.000, 0.000], [0.000, 0.500, 0.500], [0.500, 0.000, 0.500], [0.500, 0.500, 0.000], [0.250, 0.250, 0.250], [0.250, 0.250, 0.750], [0.250, 0.750, 0.250], [0.250, 0.750, 0.750], [0.750, 0.250, 0.250], [0.750, 0.250, 0.750], [0.750, 0.750, 0.250], [0.750, 0.750, 0.750], [0.000, 0.000, 0.500], [0.000, 0.500, 0.000], [0.500, 0.000, 0.000], [0.500, 0.500, 0.500]]}

***

Record 19
{"formula": "La2Nd2SmY4", "functional": "GGA-PBE", "state": "optimized geometry", "delta_e_f_ev_per_atom": -0.0013, "lattice_angstrom": [[9.521, -1.838, 0.000], [9.521, 1.838, 0.000], [-4.237, 0.000, 8.785]], "species": ["La", "La", "Nd", "Nd", "Sm", "Y", "Y", "Y", "Y"], "frac_coords": [[0.166, 0.166, 0.000], [0.834, 0.834, 0.000], [0.352, 0.352, 0.336], [0.648, 0.648, 0.664], [0.500, 0.500, 0.000], [0.020, 0.020, 0.334], [0.315, 0.315, 0.663], [0.685, 0.685, 0.337], [0.980, 0.980, 0.666]]}

***

Record 20
{"formula": "BaUAlS6", "functional": "GGA-PBE", "state": "optimized geometry", "raw_formation_energy_ev_per_fu": -9.93, "lattice_angstrom": [[6.415, 0.000, 0.000], [-3.207, 5.555, 0.000], [0.000, 0.000, 7.059]], "species": ["Ba", "U", "Al", "S", "S", "S", "S", "S", "S"], "frac_coords": [[0.000, 0.000, 0.000], [0.333, 0.667, 0.500], [0.667, 0.333, 0.500], [0.380, 0.015, 0.706], [0.380, 0.365, 0.294], [0.635, 0.015, 0.294], [0.635, 0.620, 0.706], [0.985, 0.365, 0.706], [0.985, 0.620, 0.294]]}